(1)
DFT (PBEsol) results for a relaxed structure of SiSb3Se.

Its uncorrected energy is -18.5 eV per cell. As for the formation energy (no corrections): 0.9439 eV per atom.

The space group is Pm-3m (No. 221) and the conventional cell measures 5.284, 5.284 and 5.284 Å, with angles of 90.00, 90.00 and 90.00 degrees. The distinct sites, in fractional coordinates, are Si at (0.000, 0.000, 0.000), Sb at (0.000, 0.500, 0.500) and Se at (0.500, 0.500, 0.500).

(2)
DFT (PBEsol) results for a relaxed structure of SnSb3Se.

Its uncorrected energy is -19.1 eV per cell. As for the formation energy (no corrections): 0.5409 eV per atom.

The space group is Pm-3m (No. 221) and the conventional cell measures 5.328, 5.328 and 5.328 Å, with angles of 90.00, 90.00 and 90.00 degrees. The distinct sites, in fractional coordinates, are Sn at (0.000, 0.000, 0.000), Sb at (0.000, 0.500, 0.500) and Se at (0.500, 0.500, 0.500).

(3)
DFT (PBEsol) results for a relaxed structure of SnSbSe2.

Its uncorrected energy is -67.8 eV per cell. As for the formation energy (no corrections): -0.1058 eV per atom.

The space group is Fm-3m (No. 225) and the conventional cell measures 7.157, 7.157 and 7.157 Å, with angles of 90.00, 90.00 and 90.00 degrees. The distinct sites, in fractional coordinates, are Sn at (0.000, 0.000, 0.000), Sb at (0.000, 0.000, 0.500) and Se at (0.250, 0.250, 0.250).

(4)
DFT (PBEsol) results for a relaxed structure of SrSb2Se2.

Its uncorrected energy is -41.3 eV per cell. As for the formation energy (no corrections): -0.3978 eV per atom.

The space group is I4/mmm (No. 139) and the conventional cell measures 5.664, 5.664 and 9.220 Å, with angles of 90.00, 90.00 and 90.00 degrees. The distinct sites, in fractional coordinates, are Sr at (0.000, 0.000, 0.000), Sb at (0.000, 0.000, 0.347) and Se at (0.000, 0.500, 0.250).

(5)
DFT (PBEsol) results for a relaxed structure of Sr2SbSe.

Its uncorrected energy is -66.4 eV per cell. As for the formation energy (no corrections): -1.1267 eV per atom.

The space group is I-42d (No. 122) and the conventional cell measures 8.371, 8.371 and 7.514 Å, with angles of 90.00, 90.00 and 90.00 degrees. The distinct sites, in fractional coordinates, are Sr at (0.225, 0.250, 0.125), Sb at (0.000, 0.000, 0.500) and Se at (0.000, 0.000, 0.000).

(6)
DFT (PBEsol) results for a relaxed structure of SrSb2Se.

Its uncorrected energy is -15.5 eV per cell. As for the formation energy (no corrections): -0.1790 eV per atom.

The space group is P4/mmm (No. 123) and the conventional cell measures 3.569, 3.569 and 8.350 Å, with angles of 90.00, 90.00 and 90.00 degrees. The distinct sites, in fractional coordinates, are Sr at (0.000, 0.000, 0.000), Sb at (0.500, 0.500, 0.281) and Se at (0.000, 0.000, 0.500).

(7)
DFT (PBEsol) results for a relaxed structure of SrSbSe4.

Its uncorrected energy is -90.7 eV per cell. As for the formation energy (no corrections): -0.1451 eV per atom.

The space group is F-43m (No. 216) and the conventional cell measures 8.239, 8.239 and 8.239 Å, with angles of 90.00, 90.00 and 90.00 degrees. The distinct sites, in fractional coordinates, are Sr at (0.000, 0.000, 0.000), Sb at (0.250, 0.250, 0.750) and Se at (0.124, 0.124, 0.376).

(8)
DFT (PBEsol) results for a relaxed structure of SrSb2Se.

Its uncorrected energy is -18.1 eV per cell. As for the formation energy (no corrections): -0.8160 eV per atom.

The space group is P4mm (No. 99) and the conventional cell measures 4.326, 4.326 and 6.651 Å, with angles of 90.00, 90.00 and 90.00 degrees. The distinct sites, in fractional coordinates, are Sr at (0.000, 0.000, 0.000), Sb at (0.000, 0.000, 0.497), Sb at (0.500, 0.500, 0.431) and Se at (0.500, 0.500, 0.020).

(9)
DFT (PBEsol) results for a relaxed structure of SrSbSe2.

Its uncorrected energy is -18.3 eV per cell. As for the formation energy (no corrections): -1.0408 eV per atom.

The space group is P4/mmm (No. 123) and the conventional cell measures 4.285, 4.285 and 6.048 Å, with angles of 90.00, 90.00 and 90.00 degrees. The distinct sites, in fractional coordinates, are Sr at (0.000, 0.000, 0.000), Sb at (0.500, 0.500, 0.500), Se at (0.000, 0.000, 0.500) and Se at (0.500, 0.500, 0.000).

(10)
DFT (PBEsol) results for a relaxed structure of TaSbSe2.

Its uncorrected energy is -93.6 eV per cell. As for the formation energy (no corrections): 0.3540 eV per atom.

The space group is F-43m (No. 216) and the conventional cell measures 6.778, 6.778 and 6.778 Å, with angles of 90.00, 90.00 and 90.00 degrees. The distinct sites, in fractional coordinates, are Ta at (0.000, 0.000, 0.000), Sb at (0.250, 0.250, 0.750), Se at (0.000, 0.000, 0.500) and Se at (0.250, 0.250, 0.250).

(11)
DFT (PBEsol) results for a relaxed structure of TaSb2Se.

Its uncorrected energy is -48.5 eV per cell. As for the formation energy (no corrections): 0.3131 eV per atom.

The space group is C2/m (No. 12) and the conventional cell measures 6.801, 8.006 and 3.238 Å, with angles of 90.00, 104.92 and 90.00 degrees. The distinct sites, in fractional coordinates, are Ta at (0.000, 0.000, 0.000), Sb at (0.250, 0.250, 0.500) and Se at (0.000, 0.500, 0.000).

(12)
DFT (PBEsol) results for a relaxed structure of Ta3SbSe.

Its uncorrected energy is -41.7 eV per cell. As for the formation energy (no corrections): 0.8641 eV per atom.

The space group is Pm-3m (No. 221) and the conventional cell measures 4.697, 4.697 and 4.697 Å, with angles of 90.00, 90.00 and 90.00 degrees. The distinct sites, in fractional coordinates, are Ta at (0.000, 0.000, 0.500), Sb at (0.500, 0.500, 0.500) and Se at (0.000, 0.000, 0.000).

(13)
DFT (PBEsol) results for a relaxed structure of Ta2SbSe.

Its uncorrected energy is -127.9 eV per cell. Its excess energy over the best structure of this formula in the dataset is 530 meV/atom. As for the formation energy (no corrections): 0.3820 eV per atom.

The space group is F-43m (No. 216) and the conventional cell measures 6.696, 6.696 and 6.696 Å, with angles of 90.00, 90.00 and 90.00 degrees. The distinct sites, in fractional coordinates, are Ta at (0.000, 0.000, 0.000), Ta at (0.250, 0.250, 0.250), Sb at (0.250, 0.250, 0.750) and Se at (0.000, 0.000, 0.500).

(14)
DFT (PBEsol) results for a relaxed structure of TaSbSe2.

Its uncorrected energy is -26.2 eV per cell. As for the formation energy (no corrections): -0.3478 eV per atom.

The space group is P4/mmm (No. 123) and the conventional cell measures 3.196, 3.196 and 7.850 Å, with angles of 90.00, 90.00 and 90.00 degrees. The distinct sites, in fractional coordinates, are Ta at (0.000, 0.000, 0.000), Sb at (0.000, 0.000, 0.500) and Se at (0.500, 0.500, 0.192).

(15)
DFT (PBEsol) results for a relaxed structure of Ta2SbSe.

Its uncorrected energy is -68.2 eV per cell. Its excess energy over the best structure of this formula in the dataset is 0 meV/atom. As for the formation energy (no corrections): -0.1482 eV per atom.

The space group is Cm (No. 8) and the conventional cell measures 9.268, 3.306 and 5.087 Å, with angles of 90.00, 104.26 and 90.00 degrees. The distinct sites, in fractional coordinates, are Ta at (0.000, 0.000, 0.000), Ta at (0.249, 0.500, 0.298), Sb at (0.252, 0.000, 0.793) and Se at (0.485, 0.000, 0.404).

(16)
DFT (PBEsol) results for a relaxed structure of TaSbSe2.

Its uncorrected energy is -51.5 eV per cell. As for the formation energy (no corrections): -0.2297 eV per atom.

The space group is Cmmm (No. 65) and the conventional cell measures 5.740, 9.634 and 3.229 Å, with angles of 90.00, 90.00 and 90.00 degrees. The distinct sites, in fractional coordinates, are Ta at (0.000, 0.000, 0.000), Sb at (0.000, 0.500, 0.000) and Se at (0.000, 0.202, 0.500).

(17)
DFT (PBEsol) results for a relaxed structure of Tc3SbSe.

Its uncorrected energy is -31.5 eV per cell. As for the formation energy (no corrections): 2.1361 eV per atom.

The space group is Pm-3m (No. 221) and the conventional cell measures 4.801, 4.801 and 4.801 Å, with angles of 90.00, 90.00 and 90.00 degrees. The distinct sites, in fractional coordinates, are Tc at (0.000, 0.000, 0.500), Sb at (0.000, 0.000, 0.000) and Se at (0.500, 0.500, 0.500).

(18)
DFT (PBEsol) results for a relaxed structure of Tc2SbSe.

Its uncorrected energy is -60.6 eV per cell. Its excess energy over the best structure of this formula in the dataset is 50 meV/atom. As for the formation energy (no corrections): 0.1601 eV per atom.

The space group is C2/m (No. 12) and the conventional cell measures 8.045, 3.057 and 5.497 Å, with angles of 90.00, 102.74 and 90.00 degrees. The distinct sites, in fractional coordinates, are Tc at (0.249, 0.000, 0.289), Sb at (0.000, 0.500, 0.000) and Se at (0.000, 0.000, 0.500).

(19)
DFT (PBEsol) results for a relaxed structure of Tc2SbSe.

Its uncorrected energy is -91.5 eV per cell. Its excess energy over the best structure of this formula in the dataset is 0 meV/atom. As for the formation energy (no corrections): 0.1097 eV per atom.

The space group is R3m (No. 160, hexagonal axes) and the conventional cell measures 3.0006, 3.0006 and 29.0188 Å, with angles of 90.00, 90.00 and 120.00 degrees. The distinct sites, in fractional coordinates, are Tc at (0.0000, 0.0000, 0.0000), Tc at (0.0000, 0.0000, 0.2611), Sb at (0.0000, 0.0000, 0.7407) and Se at (0.0000, 0.0000, 0.5337).

(20)
DFT (PBEsol) results for a relaxed structure of SbTeSe2.

Its uncorrected energy is -31.6 eV per cell. Its excess energy over the best structure of this formula in the dataset is 11 meV/atom. As for the formation energy (no corrections): -0.0063 eV per atom.

The space group is I4/mmm (No. 139) and the conventional cell measures 5.831, 5.831 and 6.139 Å, with angles of 90.00, 90.00 and 90.00 degrees. The distinct sites, in fractional coordinates, are Sb at (0.000, 0.000, 0.000), Te at (0.000, 0.000, 0.500) and Se at (0.000, 0.500, 0.000).

(21)
DFT (PBEsol) results for a relaxed structure of SbTeSe2.

Its uncorrected energy is -60.6 eV per cell. Its excess energy over the best structure of this formula in the dataset is 175 meV/atom. As for the formation energy (no corrections): 0.1578 eV per atom.

The space group is Fm-3m (No. 225) and the conventional cell measures 7.149, 7.149 and 7.149 Å, with angles of 90.00, 90.00 and 90.00 degrees. The distinct sites, in fractional coordinates, are Sb at (0.000, 0.000, 0.000), Te at (0.000, 0.000, 0.500) and Se at (0.250, 0.250, 0.250).

(22)
DFT (PBEsol) results for a relaxed structure of SbTe2Se2.

Its uncorrected energy is -35.6 eV per cell. As for the formation energy (no corrections): 0.3034 eV per atom.

The space group is I4/mmm (No. 139) and the conventional cell measures 5.565, 5.565 and 9.384 Å, with angles of 90.00, 90.00 and 90.00 degrees. The distinct sites, in fractional coordinates, are Sb at (0.000, 0.000, 0.000), Te at (0.000, 0.000, 0.318) and Se at (0.000, 0.500, 0.250).

(23)
DFT (PBEsol) results for a relaxed structure of SbTe2Se.

Its uncorrected energy is -28.5 eV per cell. As for the formation energy (no corrections): 0.2996 eV per atom.

The space group is Cmmm (No. 65) and the conventional cell measures 6.080, 9.721 and 3.389 Å, with angles of 90.00, 90.00 and 90.00 degrees. The distinct sites, in fractional coordinates, are Sb at (0.000, 0.000, 0.000), Te at (0.250, 0.250, 0.500) and Se at (0.000, 0.500, 0.000).

(24)
DFT (PBEsol) results for a relaxed structure of SbTeSe2.

Its uncorrected energy is -15.9 eV per cell. Its excess energy over the best structure of this formula in the dataset is 0 meV/atom. As for the formation energy (no corrections): -0.0174 eV per atom.

The space group is P4/mmm (No. 123) and the conventional cell measures 4.160, 4.160 and 5.996 Å, with angles of 90.00, 90.00 and 90.00 degrees. The distinct sites, in fractional coordinates, are Sb at (0.000, 0.000, 0.000), Te at (0.500, 0.500, 0.500), Se at (0.000, 0.000, 0.500) and Se at (0.500, 0.500, 0.000).

(25)
DFT (PBEsol) results for a relaxed structure of ThSbSe.

Its uncorrected energy is -40.8 eV per cell. As for the formation energy (no corrections): -1.2967 eV per atom.

The space group is P4/nmm (No. 129, origin choice 2) and the conventional cell measures 4.234, 4.234 and 8.650 Å, with angles of 90.00, 90.00 and 90.00 degrees. The distinct sites, in fractional coordinates, are Th at (0.250, 0.250, 0.211), Sb at (0.250, 0.750, 0.500) and Se at (0.250, 0.250, 0.864).

(26)
DFT (PBEsol) results for a relaxed structure of Ti2Sb2Se.

Its uncorrected energy is -64.3 eV per cell. As for the formation energy (no corrections): -0.5046 eV per atom.

The space group is P4/mbm (No. 127) and the conventional cell measures 7.206, 7.206 and 3.795 Å, with angles of 90.00, 90.00 and 90.00 degrees. The distinct sites, in fractional coordinates, are Ti at (0.154, 0.346, 0.000), Sb at (0.144, 0.644, 0.500) and Se at (0.000, 0.000, 0.000).